Material: Gd2O3
Method: DFT, PBEsol
State: optimized geometry

Properties
* total energy: -186.262 eV per cell

Cell lengths 7.2231, 7.2231, 8.6941 Å; angles 99.74, 99.74, 28.39 degrees
Element x y z (fractional)
Gd  0.0330  0.0330  0.3129
Gd  0.3098  0.3098  0.3623
Gd  0.3650  0.3650  0.0120
Gd  0.6350  0.6350  0.9880
Gd  0.6902  0.6902  0.6377
Gd  0.9670  0.9670  0.6871
O  0.1285  0.1285  0.7840
O  0.1752  0.1752  0.4715
O  0.2048  0.2048  0.1247
O  0.4724  0.4724  0.8438
O  0.5000  0.5000  0.5000
O  0.5276  0.5276  0.1562
O  0.7952  0.7952  0.8753
O  0.8248  0.8248  0.5285
O  0.8715  0.8715  0.2160



Material: Gd2O3
Method: DFT, PBEsol
State: optimized geometry

Properties
* total energy: -62.056 eV per cell

Cell lengths 3.7057, 3.7057, 5.8364 Å; angles 90.00, 90.00, 120.00 degrees
Element x y z (fractional)
Gd  0.3333  0.6667  0.2473
Gd  0.6667  0.3333  0.7527
O  0.0000  0.0000  0.0000
O  0.3333  0.6667  0.6455
O  0.6667  0.3333  0.3545



Material: Gd2O3
Method: DFT, PBEsol
State: optimized geometry

Properties
* total energy: -497.505 eV per cell

Cell lengths 9.2918, 9.2918, 9.2918 Å; angles 109.47, 109.47, 109.47 degrees
Element x y z (fractional)
Gd  0.0000  0.0000  0.5000
Gd  0.0000  0.5000  0.0000
Gd  0.0315  0.7500  0.7815
Gd  0.2185  0.9685  0.2500
Gd  0.2500  0.2185  0.9685
Gd  0.2500  0.7185  0.4685
Gd  0.2815  0.5315  0.7500
Gd  0.4685  0.2500  0.7185
Gd  0.5000  0.0000  0.0000
Gd  0.5000  0.5000  0.5000
Gd  0.5315  0.7500  0.2815
Gd  0.7185  0.4685  0.2500
Gd  0.7500  0.2815  0.5315
Gd  0.7500  0.7815  0.0315
Gd  0.7815  0.0315  0.7500
Gd  0.9685  0.2500  0.2185
O  0.0113  0.0410  0.2712
O  0.0297  0.4887  0.7599
O  0.0410  0.2712  0.0113
O  0.2288  0.2698  0.7401
O  0.2302  0.4590  0.4703
O  0.2401  0.9703  0.5113
O  0.2599  0.7712  0.7302
O  0.2698  0.7401  0.2288
O  0.2712  0.0113  0.0410
O  0.4590  0.4703  0.2302
O  0.4703  0.2302  0.4590
O  0.4887  0.7599  0.0297
O  0.5113  0.2401  0.9703
O  0.5297  0.7698  0.5410
O  0.5410  0.5297  0.7698
O  0.7288  0.9887  0.9590
O  0.7302  0.2599  0.7712
O  0.7401  0.2288  0.2698
O  0.7599  0.0297  0.4887
O  0.7698  0.5410  0.5297
O  0.7712  0.7302  0.2599
O  0.9590  0.7288  0.9887
O  0.9703  0.5113  0.2401
O  0.9887  0.9590  0.7288



Material: RbGdO2
Method: DFT, PBEsol
State: optimized geometry

Properties
* total energy: -36.697 eV per cell

Cell lengths 6.7715, 6.7715, 6.7715 Å; angles 30.13, 30.13, 30.13 degrees
Element x y z (fractional)
Rb  0.0000  0.0000  0.0000
Gd  0.5000  0.5000  0.5000
O  0.2262  0.2262  0.2262
O  0.7738  0.7738  0.7738



Material: RbGdO3
Method: DFT, PBEsol
State: optimized geometry

Properties
* total energy: -40.681 eV per cell

Cell lengths 4.3855, 4.3855, 4.3855 Å; angles 90.00, 90.00, 90.00 degrees
Element x y z (fractional)
Rb  0.0000  0.0000  0.0000
Gd  0.5000  0.5000  0.5000
O  0.0000  0.5000  0.5000
O  0.5000  0.0000  0.5000
O  0.5000  0.5000  0.0000



Material: Sr2GdReO6
Method: DFT, PBEsol
State: optimized geometry

Properties
* total energy: -88.734 eV per cell

Cell lengths 5.8666, 5.8666, 5.8666 Å; angles 60.00, 60.00, 60.00 degrees
Element x y z (fractional)
Sr  0.2500  0.2500  0.2500
Sr  0.7500  0.7500  0.7500
Gd  0.0000  0.0000  0.0000
Re  0.5000  0.5000  0.5000
O  0.2658  0.2658  0.7342
O  0.2658  0.7342  0.2658
O  0.2658  0.7342  0.7342
O  0.7342  0.2658  0.2658
O  0.7342  0.2658  0.7342
O  0.7342  0.7342  0.2658



Material: Gd3RuO7
Method: DFT, PBEsol
State: optimized geometry

Properties
* total energy: -240.858 eV per cell

Cell lengths 6.3978, 6.3978, 7.3667 Å; angles 90.00, 90.00, 68.87 degrees
Element x y z (fractional)
Gd  0.0000  0.0000  0.0000
Gd  0.0000  0.0000  0.5000
Gd  0.0794  0.4746  0.7500
Gd  0.4746  0.0794  0.2500
Gd  0.5254  0.9206  0.7500
Gd  0.9206  0.5254  0.2500
Ru  0.5000  0.5000  0.0000
Ru  0.5000  0.5000  0.5000
O  0.1051  0.1584  0.2500
O  0.1584  0.1051  0.7500
O  0.1832  0.5617  0.0411
O  0.1832  0.5617  0.4590
O  0.4119  0.5881  0.7500
O  0.4383  0.8168  0.0411
O  0.4383  0.8168  0.4590
O  0.5617  0.1832  0.5410
O  0.5617  0.1832  0.9590
O  0.5881  0.4119  0.2500
O  0.8168  0.4383  0.5410
O  0.8168  0.4383  0.9590
O  0.8416  0.8949  0.2500
O  0.8949  0.8416  0.7500



Material: Gd2SbO2
Method: DFT, PBEsol
State: optimized geometry

Properties
* total energy: -57.539 eV per cell

Cell lengths 7.1738, 7.1738, 7.1738 Å; angles 148.93, 148.93, 44.52 degrees
Element x y z (fractional)
Gd  0.1633  0.1633  0.0000
Gd  0.8367  0.8367  0.0000
Sb  0.5000  0.5000  0.0000
O  0.2500  0.7500  0.5000
O  0.7500  0.2500  0.5000



Material: GdYScSbO7
Method: DFT, PBEsol
State: optimized geometry

Properties
* total energy: -204.157 eV per cell

Cell lengths 7.3184, 7.3184, 7.3184 Å; angles 120.35, 119.33, 90.28 degrees
Element x y z (fractional)
Gd  0.0000  0.0000  0.0000
Gd  0.5000  0.0000  0.5000
Y  0.5000  0.0000  0.0000
Y  0.5000  0.5000  0.5000
Sc  0.0000  0.0000  0.5000
Sc  0.0000  0.5000  0.0000
Sb  0.0000  0.5000  0.5000
Sb  0.5000  0.5000  0.0000
O  0.0978  0.4248  0.2697
O  0.0978  0.8281  0.6731
O  0.0983  0.8483  0.2500
O  0.3244  0.5744  0.7500
O  0.3450  0.1719  0.7697
O  0.3450  0.5752  0.1731
O  0.3817  0.1317  0.2500
O  0.6183  0.8683  0.7500
O  0.6550  0.4248  0.8269
O  0.6550  0.8281  0.2303
O  0.6756  0.4256  0.2500
O  0.9017  0.1517  0.7500
O  0.9022  0.1719  0.3269
O  0.9022  0.5752  0.7303



Material: Gd2Se2O
Method: DFT, PBEsol
State: optimized geometry

Properties
* total energy: -217.490 eV per cell

Cell lengths 15.9786, 3.9184, 6.9972 Å; angles 90.00, 90.00, 90.00 degrees
Element x y z (fractional)
Gd  0.0389  0.2500  0.1992
Gd  0.1617  0.2500  0.7596
Gd  0.3383  0.7500  0.2596
Gd  0.4611  0.7500  0.6992
Gd  0.5389  0.2500  0.3008
Gd  0.6617  0.2500  0.7404
Gd  0.8383  0.7500  0.2404
Gd  0.9611  0.7500  0.8008
Se  0.0998  0.7500  0.5087
Se  0.1791  0.7500  0.0531
Se  0.3209  0.2500  0.5531
Se  0.4002  0.2500  0.0087
Se  0.5998  0.7500  0.9913
Se  0.6791  0.7500  0.4469
Se  0.8209  0.2500  0.9469
Se  0.9002  0.2500  0.4913
O  0.0305  0.2500  0.8713
O  0.4695  0.7500  0.3713
O  0.5305  0.2500  0.6287
O  0.9695  0.7500  0.1287



Material: Gd4TiSe4O4
Method: DFT, PBEsol
State: optimized geometry

Properties
* total energy: -137.171 eV per cell

Cell lengths 8.0809, 8.0809, 9.6069 Å; angles 117.11, 117.11, 26.64 degrees
Element x y z (fractional)
Gd  0.0247  0.0247  0.3321
Gd  0.2770  0.2770  0.6756
Gd  0.7230  0.7230  0.3244
Gd  0.9753  0.9753  0.6679
Ti  0.5000  0.5000  0.0000
Se  0.1220  0.1220  0.0167
Se  0.3840  0.3840  0.3675
Se  0.6160  0.6160  0.6325
Se  0.8780  0.8780  0.9833
O  0.1828  0.1828  0.4104
O  0.4482  0.4482  0.7777
O  0.5518  0.5518  0.2223
O  0.8172  0.8172  0.5896



Material: SrGd2O4
Method: DFT, PBEsol
State: optimized geometry

Properties
* total energy: -299.347 eV per cell

Cell lengths 10.0291, 3.4514, 11.9713 Å; angles 90.00, 90.00, 90.00 degrees
Element x y z (fractional)
Sr  0.2500  0.2500  0.1491
Sr  0.2500  0.7500  0.6491
Sr  0.7500  0.2500  0.3509
Sr  0.7500  0.7500  0.8509
Gd  0.0738  0.2500  0.8874
Gd  0.0840  0.2500  0.3895
Gd  0.4160  0.7500  0.8895
Gd  0.4262  0.7500  0.3874
Gd  0.5738  0.2500  0.6126
Gd  0.5840  0.2500  0.1105
Gd  0.9160  0.7500  0.6105
Gd  0.9262  0.7500  0.1126
O  0.0083  0.7500  0.7838
O  0.0716  0.2500  0.5799
O  0.1314  0.7500  0.0178
O  0.2152  0.7500  0.3186
O  0.2848  0.2500  0.8186
O  0.3686  0.2500  0.5178
O  0.4284  0.7500  0.0799
O  0.4917  0.2500  0.2838
O  0.5083  0.7500  0.7162
O  0.5716  0.2500  0.9201
O  0.6314  0.7500  0.4822
O  0.7152  0.7500  0.1814
O  0.7848  0.2500  0.6814
O  0.8686  0.2500  0.9822
O  0.9284  0.7500  0.4201
O  0.9917  0.2500  0.2162



Which formula does entry 4 have?
RbGdO2